Record 1
Compound: Ta2TlW
Source: Alexandria
Functional: GGA-PBE
Structure: relaxed

The structure in POSCAR format:
```
Ta2TlW
1.0
-2.5933 0.3019 4.4373
-3.7219 -1.9556 2.9714
2.9921 -3.3022 2.7820
Tl Ta W
1 2 1
Direct
0.5010 0.5010 0.5007
0.9998 0.9998 0.0040
0.7488 0.7488 0.7564
0.2504 0.2504 0.2389
```

Computed properties:
Distance to the lowest polymorph of the same formula   251 meV/atom
Space group   Cm

=====

Record 2
Compound: TaTl4W
Source: Alexandria
Functional: GGA-PBE
Structure: relaxed

The structure in POSCAR format:
```
TaTl4W
1.0
0.0000 4.1692 4.1692
4.1692 0.0000 4.1692
4.1692 4.1692 0.0000
Ta Tl W
1 4 1
Direct
0.0000 0.0000 0.0000
0.3750 0.3750 0.8750
0.3750 0.3750 0.3750
0.3750 0.8750 0.3750
0.8750 0.3750 0.3750
0.7500 0.7500 0.7500
```

Computed properties:
Space group   F-43m

=====

Record 3
Compound: TaTlW2
Source: Alexandria
Functional: GGA-PBE
Structure: relaxed

The structure in POSCAR format:
```
TaTlW2
1.0
-7.7637 4.7353 1.6329
-7.8129 2.7975 4.0617
-6.1739 5.4335 4.2100
W Ta Tl
2 1 1
Direct
0.9909 0.9909 0.9909
0.2526 0.2526 0.2526
0.5082 0.5082 0.5082
0.7483 0.7483 0.7483
```

Computed properties:
Distance to the lowest polymorph of the same formula   174 meV/atom
Space group   R3m

=====

Record 4
Compound: Ta2TlW
Source: Alexandria
Functional: GGA-PBE
Structure: relaxed

The structure in POSCAR format:
```
Ta2TlW
1.0
-0.6199 10.1378 1.5852
-3.0315 9.3294 3.0732
-0.3991 9.2834 4.3968
Ta W Tl
2 1 1
Direct
0.0028 0.0028 0.0028
0.4972 0.4972 0.4972
0.7500 0.7500 0.7500
0.2500 0.2500 0.2500
```

Computed properties:
Distance to the lowest polymorph of the same formula   290 meV/atom
Space group   R-3m

=====

Record 5
Compound: Ta2TlW
Source: Alexandria
Functional: GGA-PBE
Structure: relaxed

The structure in POSCAR format:
```
Ta2TlW
1.0
5.4806 -0.0034 -0.0018
2.4224 4.9162 0.0018
-3.5009 -3.1814 2.7677
Ta Tl W
2 1 1
Direct
0.0091 0.0091 0.0000
0.7607 0.2607 0.5000
0.4947 0.4947 0.0000
0.2355 0.7355 0.5000
```

Computed properties:
Distance to the lowest polymorph of the same formula   122 meV/atom
Space group   Imm2

=====

Record 6
Compound: Ta2TlW
Source: Alexandria
Functional: GGA-PBE
Structure: relaxed

The structure in POSCAR format:
```
Ta2TlW
1.0
-4.3432 1.8511 0.3883
-1.0791 -2.2122 -1.5244
-1.1204 -3.5057 4.1807
Tl W Ta
1 1 2
Direct
0.0000 0.5911 0.4938
0.5000 0.6951 0.7821
0.5000 0.2426 0.2388
0.0000 0.9712 0.9853
```

Computed properties:
Distance to the lowest polymorph of the same formula   143 meV/atom
Space group   Pm

=====

Record 7
Compound: TaTlW2
Source: Alexandria
Functional: GGA-PBE
Structure: relaxed

The structure in POSCAR format:
```
TaTlW2
1.0
-3.5123 -1.1159 -2.4673
1.7482 -1.1801 -1.9548
0.8459 -5.8222 1.4291
Tl W Ta
1 2 1
Direct
0.5000 0.7623 0.7501
0.0000 0.0370 0.0309
0.5000 0.2337 0.2436
0.0000 0.4670 0.4754
```

Computed properties:
Distance to the lowest polymorph of the same formula   112 meV/atom
Space group   Pm

=====

Record 8
Compound: Ta2TlW
Source: Alexandria
Functional: GGA-PBE
Structure: relaxed

The structure in POSCAR format:
```
Ta2TlW
1.0
2.9486 0.0054 0.0000
-1.0852 2.7416 0.0000
0.0000 0.0000 9.4125
Tl W Ta
1 1 2
Direct
0.0000 0.0000 0.5051
0.5000 0.5000 0.7672
0.0000 0.0000 0.9923
0.5000 0.5000 0.2354
```

Computed properties:
Distance to the lowest polymorph of the same formula   101 meV/atom
Space group   Cmm2

=====

Formation energy for every record listed, in sequence, given in eV per atom: 0.530, 1.567, 0.596, 0.569, 0.401, 0.422, 0.534, 0.380.